Np3Ni2Ge4 after structural relaxation. Source: Alexandria, functional GGA-PBE.

Properties
Crystal system: monoclinic
Total energy (eV/atom): -7.94
Formation energy (kcal/mol of atoms): -6.57
DOS at the Fermi energy (states/eV/atom): 2.13
Density (Mg/m³): 11.10

Cell lengths 5.741, 5.741, 8.260 Å; angles 113.34, 113.34, 42.77 degrees
Element x y z (fractional)
Np (0.000, 0.000, 0.000)
Np (0.393, 0.393, 0.340)
Np (0.607, 0.607, 0.660)
Ni (0.323, 0.323, 0.678)
Ni (0.677, 0.677, 0.322)
Ge (0.112, 0.112, 0.396)
Ge (0.279, 0.279, 0.931)
Ge (0.721, 0.721, 0.069)
Ge (0.888, 0.888, 0.604)


ThMg3Pd4 after structural relaxation. Source: Alexandria, functional GGA-PBE.

Properties
Crystal system: trigonal
Total energy (eV/atom): -4.83
Formation energy (kcal/mol of atoms): -16.38
DOS at the Fermi energy (states/eV/atom): 0.56
Density (Mg/m³): 8.09

Cell lengths 8.675, 8.675, 8.675 Å; angles 30.60, 30.60, 30.60 degrees
Element x y z (fractional)
Th (0.000, 0.000, 0.000)
Mg (0.237, 0.237, 0.237)
Mg (0.500, 0.500, 0.500)
Mg (0.763, 0.763, 0.763)
Pd (0.124, 0.124, 0.124)
Pd (0.393, 0.393, 0.393)
Pd (0.607, 0.607, 0.607)
Pd (0.876, 0.876, 0.876)